# 1
# LaPr3Tl

A relaxed LaPr3Tl crystal (GGA-PBE, Alexandria).

Cell lengths 10.403, 10.403, 6.451 Å; angles 90.00, 90.00, 120.00 degrees
Atoms (fractional coordinates):
La (0.000, 0.000, 0.000)
La (0.333, 0.667, 0.667)
La (0.667, 0.333, 0.333)
Pr (0.000, 0.500, 0.000)
Pr (0.167, 0.333, 0.333)
Pr (0.167, 0.833, 0.333)
Pr (0.333, 0.167, 0.667)
Pr (0.500, 0.000, 0.000)
Pr (0.500, 0.500, 0.000)
Pr (0.667, 0.833, 0.333)
Pr (0.833, 0.167, 0.667)
Pr (0.833, 0.667, 0.667)
Tl (0.000, 0.000, 0.500)
Tl (0.333, 0.667, 0.167)
Tl (0.667, 0.333, 0.833)

Summary:
The value obtained for the energy relative to the lowest polymorph listed for this composition is 0.4283 eV per atom. Its space group is R-3m. The electronic total energy comes out at -4.029 eV per atom. The value obtained for the spin magnetization is 4.154 Bohr magnetons per cell.

***

# 2
# LaPr6Tl5

A relaxed LaPr6Tl5 crystal (GGA-PBE, Alexandria).

Cell lengths 9.055, 9.055, 7.750 Å; angles 90.00, 90.00, 143.71 degrees
Atoms (fractional coordinates):
La (0.000, 0.000, 0.000)
Pr (0.174, 0.826, 0.249)
Pr (0.174, 0.826, 0.751)
Pr (0.500, 0.500, 0.271)
Pr (0.500, 0.500, 0.729)
Pr (0.826, 0.174, 0.249)
Pr (0.826, 0.174, 0.751)
Tl (0.000, 0.000, 0.500)
Tl (0.333, 0.667, 0.500)
Tl (0.350, 0.650, 0.000)
Tl (0.650, 0.350, 0.000)
Tl (0.667, 0.333, 0.500)

Summary:
The value obtained for the energy relative to the lowest polymorph listed for this composition is 0.0137 eV per atom. Its space group is Cmmm. The electronic total energy comes out at -4.080 eV per atom. The value obtained for the spin magnetization is 2.978 Bohr magnetons per cell.

***

# 3
# LaPr2Tl3

A relaxed LaPr2Tl3 crystal (GGA-PBE, Alexandria).

Cell lengths 3.932, 3.932, 11.973 Å; angles 90.00, 90.00, 90.00 degrees
Atoms (fractional coordinates):
La (0.000, 0.000, 0.000)
Pr (0.000, 0.000, 0.335)
Pr (0.000, 0.000, 0.665)
Tl (0.500, 0.500, 0.171)
Tl (0.500, 0.500, 0.500)
Tl (0.500, 0.500, 0.829)

Summary:
Its space group is P4/mmm. The electronic total energy comes out at -4.003 eV per atom. The value obtained for the spin magnetization is 0.000 Bohr magnetons per cell.

***

# 4
# La2Pr2Tl3

A relaxed La2Pr2Tl3 crystal (GGA-PBE, Alexandria).

Cell lengths 3.643, 33.402, 3.663 Å; angles 90.00, 90.00, 90.00 degrees
Atoms (fractional coordinates):
La (0.000, 0.202, 0.000)
La (0.000, 0.798, 0.000)
La (0.500, 0.298, 0.000)
La (0.500, 0.702, 0.000)
Pr (0.000, 0.067, 0.000)
Pr (0.000, 0.933, 0.000)
Pr (0.500, 0.433, 0.000)
Pr (0.500, 0.567, 0.000)
Tl (0.000, 0.365, 0.500)
Tl (0.000, 0.500, 0.500)
Tl (0.000, 0.635, 0.500)
Tl (0.500, 0.000, 0.500)
Tl (0.500, 0.135, 0.500)
Tl (0.500, 0.865, 0.500)

Summary:
The value obtained for the energy relative to the lowest polymorph listed for this composition is 0.0000 eV per atom. Its space group is Cmmm. The electronic total energy comes out at -4.072 eV per atom. The value obtained for the spin magnetization is 0.000 Bohr magnetons per cell.

***

# 5
# LaPr2Tl

A relaxed LaPr2Tl crystal (GGA-PBE, Alexandria).

Cell lengths 3.806, 3.806, 33.526 Å; angles 90.00, 90.00, 120.00 degrees
Atoms (fractional coordinates):
La (0.000, 0.000, 0.000)
La (0.333, 0.667, 0.667)
La (0.667, 0.333, 0.333)
Pr (0.000, 0.000, 0.576)
Pr (0.000, 0.000, 0.758)
Pr (0.333, 0.667, 0.243)
Pr (0.333, 0.667, 0.424)
Pr (0.667, 0.333, 0.091)
Pr (0.667, 0.333, 0.910)
Tl (0.000, 0.000, 0.167)
Tl (0.333, 0.667, 0.833)
Tl (0.667, 0.333, 0.500)

Summary:
The value obtained for the energy relative to the lowest polymorph listed for this composition is 0.1278 eV per atom. Its space group is R3m. The electronic total energy comes out at -4.307 eV per atom. The value obtained for the spin magnetization is 0.059 Bohr magnetons per cell.

***

# 6
# La2PrTl3

A relaxed La2PrTl3 crystal (GGA-PBE, Alexandria).

Cell lengths 3.953, 3.953, 11.996 Å; angles 90.00, 90.00, 90.00 degrees
Atoms (fractional coordinates):
La (0.000, 0.000, 0.169)
La (0.000, 0.000, 0.831)
Pr (0.000, 0.000, 0.500)
Tl (0.500, 0.500, 0.000)
Tl (0.500, 0.500, 0.338)
Tl (0.500, 0.500, 0.662)

Summary:
The value obtained for the energy relative to the lowest polymorph listed for this composition is 0.0000 eV per atom. Its space group is P4/mmm. The electronic total energy comes out at -4.037 eV per atom. The value obtained for the spin magnetization is 0.000 Bohr magnetons per cell.

***

# 7
# La6Pr8Tl

A relaxed La6Pr8Tl crystal (GGA-PBE, Alexandria).

Cell lengths 8.960, 8.960, 8.960 Å; angles 62.13, 62.13, 62.13 degrees
Atoms (fractional coordinates):
La (0.048, 0.745, 0.586)
La (0.255, 0.414, 0.952)
La (0.414, 0.952, 0.255)
La (0.586, 0.048, 0.745)
La (0.745, 0.586, 0.048)
La (0.952, 0.255, 0.414)
Pr (0.078, 0.078, 0.078)
Pr (0.186, 0.290, 0.608)
Pr (0.290, 0.608, 0.186)
Pr (0.392, 0.814, 0.710)
Pr (0.608, 0.186, 0.290)
Pr (0.710, 0.392, 0.814)
Pr (0.814, 0.710, 0.392)
Pr (0.922, 0.922, 0.922)
Tl (0.500, 0.500, 0.500)

Summary:
Its space group is R-3. The electronic total energy comes out at -4.664 eV per atom. The value obtained for the spin magnetization is 0.000 Bohr magnetons per cell.

***

# 8
# La4Pr3Tl

A relaxed La4Pr3Tl crystal (GGA-PBE, Alexandria).

Cell lengths 11.766, 7.344, 6.366 Å; angles 90.00, 90.00, 90.00 degrees
Atoms (fractional coordinates):
La (0.000, 0.114, 0.000)
La (0.000, 0.870, 0.563)
La (0.226, 0.863, 0.194)
La (0.274, 0.137, 0.694)
La (0.500, 0.130, 0.063)
La (0.500, 0.886, 0.500)
La (0.726, 0.137, 0.694)
La (0.774, 0.863, 0.194)
Pr (0.000, 0.376, 0.535)
Pr (0.243, 0.382, 0.204)
Pr (0.257, 0.618, 0.704)
Pr (0.500, 0.624, 0.035)
Pr (0.743, 0.618, 0.704)
Pr (0.757, 0.382, 0.204)
Tl (0.000, 0.605, 0.026)
Tl (0.500, 0.395, 0.526)

Summary:
The value obtained for the energy relative to the lowest polymorph listed for this composition is 0.0000 eV per atom. Its space group is Pmn2_1. The electronic total energy comes out at -4.641 eV per atom. The value obtained for the spin magnetization is 0.000 Bohr magnetons per cell.